Material: LaMgFe2O6
Method: DFT, PBE+U
State: optimized geometry

Magnetic moment ... 18.00 μB per cell
Space-group type ... Pmn2_1, No. 31
DFT total energy ... -6.83 eV/atom

Unit cell a=5.3519 b=5.4991 c=7.6930 alpha=90.00 beta=90.00 gamma=90.00
Last column: magnetic moment on the atom in μB.
Fractional positions:
1 La 0.0075 0.7173 0.0000  0.01
2 La 0.5075 0.2827 0.5000  0.01
3 Mg 0.4718 0.1926 0.0000  0.01
4 Mg 0.9718 0.8074 0.5000  0.01
5 Fe 0.9993 0.2501 0.7521  4.15
6 Fe 0.4993 0.7499 0.2521  4.15
7 Fe 0.9993 0.2501 0.2479  4.15
8 Fe 0.4993 0.7499 0.7479  4.15
9 O 0.3671 0.7289 0.5000  0.11
10 O 0.8072 0.5503 0.3089  0.09
11 O 0.8072 0.5503 0.6911  0.09
12 O 0.3072 0.4497 0.1911  0.09
13 O 0.3072 0.4497 0.8089  0.09
14 O 0.8671 0.2711 0.0000  0.11
15 O 0.0769 0.2041 0.5000  0.08
16 O 0.7319 0.0162 0.6949  0.09
17 O 0.7319 0.0162 0.3051  0.09
18 O 0.2319 0.9838 0.8051  0.09
19 O 0.2319 0.9838 0.1949  0.09
20 O 0.5769 0.7959 0.0000  0.08